Entry from the Alexandria database: an optimized crystal structure of CrHgSb2 (PBE-GGA).

Geometry as POSCAR:
```
CrHgSb2
1.0
-0.857 -2.647 4.906
4.830 -2.226 1.878
-1.902 5.080 -1.542
Hg Cr Sb
1 1 2
Direct
0.250 0.750 0.500
0.750 0.250 0.500
0.518 0.518 0.000
0.982 0.982 0.000
```

Summary:
- N(E_F) (states/eV per cell) = 1.9
- polymorph energy (0 for the lowest one) (meV per atom) = 199
- magnetic moment (μB per formula unit) = 3.79
- mass density (Mg/m³) = 8.71
- formation energy without anion corrections (eV/atom) = 0.3493

---

Entry from the Alexandria database: an optimized crystal structure of Cr4HgSb (PBE-GGA).

Geometry as POSCAR:
```
Cr4HgSb
1.0
0.000 3.542 3.542
3.542 0.000 3.542
3.542 3.542 0.000
Cr Sb Hg
4 1 1
Direct
0.866 0.378 0.378
0.378 0.378 0.866
0.378 0.866 0.378
0.378 0.378 0.378
0.000 0.000 0.000
0.750 0.750 0.750
```

Summary:
- N(E_F) (states/eV per cell) = 5.7
- magnetic moment (μB per formula unit) = 0.00
- mass density (Mg/m³) = 9.91
- formation energy without anion corrections (eV/atom) = 0.5600

---

Entry from the Alexandria database: an optimized crystal structure of CrHg2Sb (PBE-GGA).

Geometry as POSCAR:
```
CrHg2Sb
1.0
-3.740 -1.999 -2.453
5.189 -3.781 0.186
-0.449 -2.069 2.620
Hg Cr Sb
2 1 1
Direct
0.500 0.000 0.500
0.000 0.000 0.000
0.500 0.500 0.000
0.000 0.500 0.500
```

Summary:
- N(E_F) (states/eV per cell) = 2.0
- magnetic moment (μB per formula unit) = 4.12
- mass density (Mg/m³) = 10.22
- formation energy without anion corrections (eV/atom) = 0.3402

---

Entry from the Alexandria database: an optimized crystal structure of CrHgSb (PBE-GGA).

Geometry as POSCAR:
```
CrHgSb
1.0
4.639 0.000 0.000
2.319 4.017 0.000
2.319 1.339 3.788
Cr Sb Hg
1 1 1
Direct
0.750 0.750 0.750
0.500 0.500 0.500
0.000 0.000 0.000
```

Summary:
- N(E_F) (states/eV per cell) = 0.7
- polymorph energy (0 for the lowest one) (meV per atom) = 0
- magnetic moment (μB per formula unit) = 3.47
- mass density (Mg/m³) = 8.81
- formation energy without anion corrections (eV/atom) = 0.2201

---

Entry from the Alexandria database: an optimized crystal structure of CrHg2Sb (PBE-GGA).

Geometry as POSCAR:
```
CrHg2Sb
1.0
-2.096 -2.792 -4.625
0.100 -5.793 0.123
-1.744 4.272 3.506
Hg Sb Cr
2 1 1
Direct
0.500 0.500 0.000
0.000 0.000 0.000
0.250 0.750 0.500
0.750 0.250 0.500
```

Summary:
- N(E_F) (states/eV per cell) = 1.8
- magnetic moment (μB per formula unit) = 4.05
- mass density (Mg/m³) = 10.61
- formation energy without anion corrections (eV/atom) = 0.3413

---

Entry from the Alexandria database: an optimized crystal structure of CrHgSb2 (PBE-GGA).

Geometry as POSCAR:
```
CrHgSb2
1.0
-1.735 3.525 -1.507
-4.287 -1.953 0.368
-0.392 1.687 4.397
Sb Hg Cr
2 1 1
Direct
0.000 0.000 0.000
0.000 0.500 0.500
0.500 0.000 0.500
0.500 0.500 0.000
```

Summary:
- N(E_F) (states/eV per cell) = 2.1
- polymorph energy (0 for the lowest one) (meV per atom) = 214
- magnetic moment (μB per formula unit) = 3.99
- mass density (Mg/m³) = 8.77
- formation energy without anion corrections (eV/atom) = 0.3646

---

Entry from the Alexandria database: an optimized crystal structure of CrHgSb4 (PBE-GGA).

Geometry as POSCAR:
```
CrHgSb4
1.0
-4.803 3.487 1.925
-0.534 5.911 -1.926
-4.513 1.580 -4.009
Sb Hg Cr
4 1 1
Direct
0.373 0.373 0.373
0.880 0.373 0.373
0.373 0.373 0.880
0.373 0.880 0.373
0.000 0.000 0.000
0.750 0.750 0.750
```

Summary:
- N(E_F) (states/eV per cell) = 2.4
- magnetic moment (μB per formula unit) = 4.40
- mass density (Mg/m³) = 7.15
- formation energy without anion corrections (eV/atom) = 0.5217

---

Entry from the Alexandria database: an optimized crystal structure of CrHg2Sb (PBE-GGA).

Geometry as POSCAR:
```
CrHg2Sb
1.0
-1.919 0.904 2.406
-2.535 -0.168 -1.958
-1.230 -8.867 2.351
Hg Cr Sb
2 1 1
Direct
0.000 0.000 0.956
0.500 0.500 0.236
0.500 0.500 0.749
0.000 0.000 0.559
```

Summary:
- N(E_F) (states/eV per cell) = 1.9
- magnetic moment (μB per formula unit) = 3.58
- mass density (Mg/m³) = 10.03
- formation energy without anion corrections (eV/atom) = 0.2411

---

Entry from the Alexandria database: an optimized crystal structure of CrHgSb3 (PBE-GGA).

Geometry as POSCAR:
```
CrHgSb3
1.0
5.090 0.000 0.000
0.000 5.090 0.000
0.000 0.000 5.090
Hg Sb Cr
1 3 1
Direct
0.500 0.500 0.500
0.500 0.000 0.000
0.000 0.500 0.000
0.000 0.000 0.500
0.000 0.000 0.000
```

Summary:
- N(E_F) (states/eV per cell) = 3.2
- polymorph energy (0 for the lowest one) (meV per atom) = 0
- magnetic moment (μB per formula unit) = 1.21
- mass density (Mg/m³) = 7.78
- formation energy without anion corrections (eV/atom) = 0.3569

---

Entry from the Alexandria database: an optimized crystal structure of CrHgSb2 (PBE-GGA).

Geometry as POSCAR:
```
CrHgSb2
1.0
-0.077 -5.161 -0.022
5.151 -0.075 -0.332
3.081 -2.662 8.278
Sb Cr Hg
4 2 2
Direct
0.177 0.625 0.250
0.573 0.125 0.250
0.875 0.823 0.750
0.375 0.427 0.750
0.250 0.750 0.500
0.500 0.500 0.000
0.750 0.250 0.500
0.000 0.000 0.000
```

Summary:
- N(E_F) (states/eV per cell) = 5.1
- polymorph energy (0 for the lowest one) (meV per atom) = 236
- magnetic moment (μB per formula unit) = 3.66
- mass density (Mg/m³) = 7.30
- formation energy without anion corrections (eV/atom) = 0.3867

---

Entry from the Alexandria database: an optimized crystal structure of CrHg2Sb (PBE-GGA).

Geometry as POSCAR:
```
CrHg2Sb
1.0
-2.092 3.413 -7.147
5.103 -5.072 -3.916
-0.627 -2.749 -5.824
Hg Sb Cr
4 2 2
Direct
0.605 0.125 0.250
0.875 0.855 0.750
0.145 0.625 0.250
0.375 0.395 0.750
0.750 0.250 0.500
0.000 0.000 0.000
0.500 0.500 0.000
0.250 0.750 0.500
```

Summary:
- N(E_F) (states/eV per cell) = 6.7
- magnetic moment (μB per formula unit) = 3.58
- mass density (Mg/m³) = 9.87
- formation energy without anion corrections (eV/atom) = 0.4120

---

Entry from the Alexandria database: an optimized crystal structure of CrHgSbTe2 (PBE-GGA).

Geometry as POSCAR:
```
CrHgSbTe2
1.0
-1.337 5.055 -0.659
-1.596 0.232 5.017
4.723 1.436 1.435
Te Sb Cr Hg
2 1 1 1
Direct
0.000 0.500 0.000
0.500 0.000 0.000
0.000 0.000 0.500
0.000 0.000 0.000
0.500 0.500 0.500
```

Summary:
- N(E_F) (states/eV per cell) = 5.3
- polymorph energy (0 for the lowest one) (meV per atom) = 0
- magnetic moment (μB per formula unit) = 1.88
- mass density (Mg/m³) = 7.32
- formation energy without anion corrections (eV/atom) = 0.3293